1.
4
Lattice="4.8732 0.0000 0.0000 -2.4366 4.2619 0.0000 0.0000 0.0000 5.7570" Properties=species:S:1:pos:R:3 comment="SmYGeCl GGA-PBE optimized geometry" dft_energy_ev_per_atom=-5.371 pbc="T T T"
Ge 0.0000 1.4412 0.0000
Sm 0.0000 1.4380 2.8785
Cl 2.4366 2.8744 2.8785
Y 2.4366 2.8757 0.0000

***

2.
12
Lattice="4.0973 0.0000 0.0000 0.0000 7.0421 -1.2573 0.0000 -0.0298 13.1447" Properties=species:S:1:pos:R:3 comment="SnGeCl4 GGA-PBE optimized geometry" dft_energy_ev_per_atom=-3.524 e_above_lowest_polymorph_ev_per_atom=0.006 pbc="T T T"
Cl 0.0012 6.2159 6.9342
Cl 0.0008 2.4804 1.0917
Cl 4.0966 4.5319 10.7958
Cl 2.0499 0.7814 11.5255
Cl 2.0494 4.5468 4.2234
Cl 2.0479 2.4655 7.6640
Cl 2.0474 6.2308 0.3619
Cl 4.0961 0.7963 4.9532
Ge 2.0487 -0.0149 6.5724
Ge 0.0000 0.0000 0.0000
Sn 2.0487 3.5210 -0.6286
Sn 0.0000 3.5061 5.9437

***

3.
18
Lattice="-2.7647 -1.0353 -6.2463 -0.6271 -6.4315 -2.4772 -12.0582 -0.9430 5.4640" Properties=species:S:1:pos:R:3 comment="SnGe5Cl12 GGA-PBE optimized geometry" dft_energy_ev_per_atom=-3.525 pbc="T T T"
Cl -10.0600 -5.7233 -3.5268
Cl -8.9292 -3.2352 -0.6189
Cl -5.3901 -2.6865 0.2672
Cl -7.0215 -1.2321 -3.0712
Cl -6.5208 -5.1746 -2.6407
Cl -1.7778 -4.2815 -0.9875
Cl -12.4818 -1.5081 0.7851
Cl -13.6723 -4.1284 -2.2720
Cl -12.0649 -5.3732 1.0437
Cl -2.3411 -0.4702 -1.5675
Cl -3.3851 -3.0366 -4.3033
Cl -7.8014 -0.7462 2.2888
Ge -2.2613 -4.9782 -5.8159
Ge -6.9082 -4.9307 0.0392
Ge -1.1307 -2.4887 -2.9079
Ge -7.4115 -0.9892 -0.3912
Ge -8.5419 -3.4794 -3.2989
Sn 0.0000 0.0000 0.0000

***

4.
29
Lattice="9.8028 0.0000 -3.4658 -4.9014 8.4895 -3.4658 0.0000 0.0000 10.3975" Properties=species:S:1:pos:R:3 comment="Sn4Ge6Cl19 GGA-PBE optimized geometry" dft_energy_ev_per_atom=-3.479 pbc="T T T"
Ge 0.6961 7.2839 -0.9844
Ge 6.6561 3.0391 0.9844
Ge -1.7546 5.4504 2.4815
Ge 4.2054 1.2056 4.4502
Ge 1.0586 4.2448 5.9473
Ge 3.8428 4.2448 -2.4815
Cl -0.2728 5.8135 -2.7105
Cl 2.2550 2.6760 4.1122
Cl 6.3578 0.6149 0.6463
Cl 0.0032 5.3465 0.7553
Cl 4.2736 3.2909 -0.2488
Cl -1.3193 2.2851 1.8658
Cl -0.8318 2.6705 5.7788
Cl 7.1642 0.0000 5.0659
Cl 6.0914 5.1986 -2.8195
Cl -3.5821 6.2044 5.0659
Cl 3.0046 6.4339 -1.1529
Cl 1.3193 2.2851 -1.8658
Cl 2.6386 0.0000 1.8658
Cl 3.5821 6.2044 -5.0659
Cl 4.8160 2.0556 6.6829
Cl 5.6146 3.1430 3.2170
Cl -2.1728 7.8746 2.3129
Cl 0.0000 0.0000 0.0000
Cl 0.2696 5.8190 4.2212
Sn 1.3369 2.3155 0.9453
Sn -3.5645 6.1740 -2.5205
Sn 7.1291 0.0000 -2.5205
Sn 0.0000 0.0000 7.5615

***

Please write out number 1 again, unchanged.
4
Lattice="4.8732 0.0000 0.0000 -2.4366 4.2619 0.0000 0.0000 0.0000 5.7570" Properties=species:S:1:pos:R:3 comment="SmYGeCl GGA-PBE optimized geometry" dft_energy_ev_per_atom=-5.371 pbc="T T T"
Ge 0.0000 1.4412 0.0000
Sm 0.0000 1.4380 2.8785
Cl 2.4366 2.8744 2.8785
Y 2.4366 2.8757 0.0000

***

Question: Number 2 is which compound?
Answer: SnGeCl4

***

Question: What is the formula in the first record?
Answer: SmYGeCl